Sc3Zn | PBEsol | relaxed

Calculated values
* formation enthalpy at 0 K: -0.104 eV/atom
* DOS at the Fermi energy: 1.21 states/eV per atom
* crystal system: orthorhombic

Structure (extended XYZ):
```
8
Lattice="4.8083 0.0000 0.0000 0.0000 6.0965 0.0000 0.0000 0.0000 5.5372" Properties=species:S:1:pos:R:3 pbc="T T T"
Sc 1.2021 0.0376 0.8827
Sc 1.2021 1.5241 3.4782
Sc 1.2021 3.0106 0.8827
Sc 3.6062 3.0859 4.6544
Sc 3.6062 4.5724 2.0590
Sc 3.6062 6.0589 4.6544
Zn 1.2021 4.5724 3.6989
Zn 3.6062 1.5241 1.8383
```

***

Sc3Zn | PBEsol | relaxed

Calculated values
* formation enthalpy at 0 K: -0.009 eV/atom
* DOS at the Fermi energy: 1.50 states/eV per atom
* crystal system: cubic

Structure (extended XYZ):
```
4
Lattice="0.0000 3.4417 3.4417 3.4417 0.0000 3.4417 3.4417 3.4417 0.0000" Properties=species:S:1:pos:R:3 pbc="T T T"
Sc 0.0000 0.0000 0.0000
Sc 1.7209 1.7209 1.7209
Sc 5.1626 5.1626 5.1626
Zn 3.4417 3.4417 3.4417
```

***

Sc3Zn | PBEsol | relaxed

Calculated values
* formation enthalpy at 0 K: -0.177 eV/atom
* DOS at the Fermi energy: 1.02 states/eV per atom
* crystal system: orthorhombic

Structure (extended XYZ):
```
4
Lattice="-1.7001 2.3769 5.1128 1.7001 -2.3769 5.1128 1.7001 2.3769 -5.1128" Properties=species:S:1:pos:R:3 pbc="T T T"
Sc 0.0000 0.0000 0.0000
Sc 1.7001 0.0000 2.8834
Sc 0.0000 2.3769 2.2293
Zn 0.0000 0.0000 5.1128
```